Version 1
PBE PmHgSO, relaxed; SG = Pca2_1 (29)
1.0
7.913 0.000 0.000
0.000 8.842 0.000
0.000 0.000 5.480
Pm Hg S O
4 4 4 4
direct
0.057 0.176 0.000
0.443 0.176 0.500
0.557 0.824 0.000
0.943 0.824 0.500
0.163 0.610 0.935
0.337 0.610 0.435
0.663 0.390 0.935
0.837 0.390 0.435
0.098 0.116 0.502
0.402 0.116 0.002
0.598 0.884 0.502
0.902 0.884 0.002
0.012 0.408 0.063
0.488 0.408 0.563
0.512 0.592 0.063
0.988 0.592 0.563

***

Version 2
PBE PmHgSO, relaxed; SG = P2_1/c (14)
1.0
8.596 0.000 0.000
0.000 6.067 0.000
-1.052 0.000 5.903
Pm Hg S O
4 4 4 4
direct
0.118 0.006 0.278
0.118 0.494 0.778
0.882 0.506 0.222
0.882 0.994 0.722
0.488 0.718 0.993
0.488 0.782 0.493
0.512 0.218 0.507
0.512 0.282 0.007
0.278 0.013 0.866
0.278 0.487 0.366
0.722 0.513 0.634
0.722 0.987 0.134
0.005 0.746 0.001
0.005 0.754 0.501
0.995 0.246 0.499
0.995 0.254 0.999

***

Version 3
PBE PmHgSO, relaxed; SG = Pmc2_1 (26)
1.0
4.863 0.000 0.000
0.000 8.833 0.000
0.000 0.000 5.102
Pm Hg S O
2 2 2 2
direct
0.000 0.146 0.000
0.000 0.854 0.500
0.500 0.312 0.549
0.500 0.688 0.049
0.500 0.305 0.052
0.500 0.695 0.552
0.000 0.095 0.572
0.000 0.905 0.072

***

Version 4
PBE PmHgSO, relaxed; SG = P4/nmm (129)
1.0
4.014 0.000 0.000
0.000 4.014 0.000
0.000 0.000 9.992
Pm Hg S O
2 2 2 2
direct
0.250 0.250 0.117
0.750 0.750 0.883
0.250 0.750 0.500
0.750 0.250 0.500
0.250 0.250 0.734
0.750 0.750 0.266
0.250 0.750 0.000
0.750 0.250 0.000

***

Most favorable first, least favorable last: version 2, version 4, version 3, version 1

***

Version 1
PBE PmHgTeO, relaxed; SG = P4/nmm (129)
1.0
4.200 0.000 0.000
0.000 4.200 0.000
0.000 0.000 10.627
Pm Hg Te O
2 2 2 2
direct
0.250 0.250 0.101
0.750 0.750 0.899
0.250 0.750 0.500
0.750 0.250 0.500
0.250 0.250 0.734
0.750 0.750 0.266
0.250 0.750 0.000
0.750 0.250 0.000

***

Version 2
PBE PmHgTeO, relaxed; SG = P2_1/c (14)
1.0
9.529 0.000 0.000
0.000 6.156 0.000
-0.248 0.000 6.227
Pm Hg Te O
4 4 4 4
direct
0.097 0.016 0.259
0.097 0.484 0.759
0.903 0.516 0.241
0.903 0.984 0.741
0.369 0.661 0.526
0.369 0.839 0.026
0.631 0.161 0.974
0.631 0.339 0.474
0.338 0.130 0.638
0.338 0.370 0.138
0.662 0.630 0.862
0.662 0.870 0.362
0.014 0.746 0.504
0.014 0.754 0.004
0.986 0.246 0.996
0.986 0.254 0.496

***

Version 3
PBE PmHgTeO, relaxed; SG = Pmc2_1 (26)
1.0
5.162 0.000 0.000
0.000 9.225 0.000
0.000 0.000 5.824
Pm Hg Te O
2 2 2 2
direct
0.000 0.133 0.000
0.000 0.867 0.500
0.500 0.308 0.624
0.500 0.692 0.124
0.500 0.312 0.129
0.500 0.688 0.629
0.000 0.078 0.645
0.000 0.922 0.145

***

Most favorable first, least favorable last: version 1, version 2, version 3